Record 1
Here is an optimized crystal structure of Be2HgAs from Alexandria. Energies are from GGA-PBE.

a b c (Å): 3.622 3.622 6.168
angles (deg): 90.00 90.00 119.54
Positions (direct):
Be (0.000, 0.000, 0.963)
Be (0.000, 0.000, 0.537)
As (0.500, 0.500, 0.750)
Hg (0.500, 0.500, 0.250)

Values from the calculation:
- VASP energy (eV per atom) = -2.569
- calculated formation energy (eV per atom) = 0.532
- space group = Cmmm (65)
- size of the total moment (μB/atom) = 0.000
- Fermi-level density of states (states/eV per cell) = 1.104
- volume (Å³ per atom) = 17.60



Record 2
Here is an optimized crystal structure of TmSnPd from Alexandria. Energies are from GGA-PBE.

a b c (Å): 3.539 4.635 4.635
angles (deg): 120.00 90.00 90.00
Positions (direct):
Tm (0.667, 0.667, 0.333)
Sn (0.167, 0.000, 0.000)
Pd (0.167, 0.333, 0.667)

Values from the calculation:
- VASP energy (eV per atom) = -5.411
- calculated formation energy (eV per atom) = -0.855
- space group = P-6m2 (187)
- size of the total moment (μB/atom) = 0.000
- Fermi-level density of states (states/eV per cell) = 1.760
- volume (Å³ per atom) = 21.95



Record 3
Here is an optimized crystal structure of LaLuSnHg from Alexandria. Energies are from GGA-PBE.

a b c (Å): 5.381 5.381 5.381
angles (deg): 60.00 60.00 60.00
Positions (direct):
Lu (0.000, 0.000, 0.000)
Hg (0.750, 0.750, 0.750)
Sn (0.250, 0.250, 0.250)
La (0.500, 0.500, 0.500)

Values from the calculation:
- VASP energy (eV per atom) = -3.992
- calculated formation energy (eV per atom) = -0.554
- space group = F-43m (216)
- size of the total moment (μB/atom) = 0.000
- Fermi-level density of states (states/eV per cell) = 3.325
- volume (Å³ per atom) = 27.54



Record 4
Here is an optimized crystal structure of ZrZnPbAu2 from Alexandria. Energies are from GGA-PBE.

a b c (Å): 4.760 5.184 4.760
angles (deg): 90.00 90.00 90.00
Positions (direct):
Pb (0.000, 0.500, 0.000)
Zn (0.000, 0.000, 0.000)
Au (0.000, 0.000, 0.500)
Au (0.500, 0.000, 0.000)
Zr (0.500, 0.500, 0.500)

Values from the calculation:
- VASP energy (eV per atom) = -3.640
- calculated formation energy (eV per atom) = 0.377
- space group = P4/mmm (123)
- size of the total moment (μB/atom) = 0.000
- Fermi-level density of states (states/eV per cell) = 3.414
- volume (Å³ per atom) = 23.49



Record 5
Here is an optimized crystal structure of LaCuAs from Alexandria. Energies are from GGA-PBE.

a b c (Å): 4.883 4.883 4.883
angles (deg): 60.00 60.00 60.00
Positions (direct):
As (0.000, 0.000, 0.000)
Cu (0.500, 0.500, 0.500)
La (0.750, 0.750, 0.750)

Values from the calculation:
- VASP energy (eV per atom) = -4.851
- calculated formation energy (eV per atom) = -0.293
- space group = F-43m (216)
- size of the total moment (μB/atom) = 0.000
- Fermi-level density of states (states/eV per cell) = 1.323
- volume (Å³ per atom) = 27.44



Record 6
Here is an optimized crystal structure of Ac2ErCu2Se6 from Alexandria. Energies are from GGA-PBE.

a b c (Å): 7.408 7.408 8.167
angles (deg): 63.03 63.03 60.00
Positions (direct):
Ac (0.794, 0.794, 0.619)
Ac (0.206, 0.206, 0.381)
Er (0.000, 0.000, 0.000)
Cu (0.432, 0.432, 0.703)
Cu (0.568, 0.568, 0.297)
Se (0.751, 0.751, 0.281)
Se (0.216, 0.751, 0.281)
Se (0.751, 0.216, 0.281)
Se (0.249, 0.784, 0.719)
Se (0.784, 0.249, 0.719)
Se (0.249, 0.249, 0.719)

Values from the calculation:
- VASP energy (eV per atom) = -4.904
- space group = R-3m (166)
- size of the total moment (μB/atom) = 0.000
- Fermi-level density of states (states/eV per cell) = 7.120
- volume (Å³ per atom) = 30.06



Record 7
Here is an optimized crystal structure of NdIn2Rh from Alexandria. Energies are from GGA-PBE.

a b c (Å): 4.546 4.546 5.992
angles (deg): 67.71 67.71 60.00
Positions (direct):
Rh (0.500, 0.500, 0.500)
Nd (0.000, 0.000, 0.000)
In (0.781, 0.781, 0.656)
In (0.219, 0.219, 0.344)

Values from the calculation:
- VASP energy (eV per atom) = -4.822
- calculated formation energy (eV per atom) = -0.423
- space group = R-3m (166)
- size of the total moment (μB/atom) = 0.000
- Fermi-level density of states (states/eV per cell) = 3.740
- volume (Å³ per atom) = 24.10



Record 8
Here is an optimized crystal structure of ErTh2Ni9 from Alexandria. Energies are from GGA-PBE.

a b c (Å): 4.977 4.977 16.667
angles (deg): 90.00 90.00 120.00
Positions (direct):
Er (0.333, 0.667, 0.750)
Er (0.667, 0.333, 0.250)
Th (0.333, 0.667, 0.547)
Th (0.667, 0.333, 0.047)
Th (0.667, 0.333, 0.453)
Th (0.333, 0.667, 0.953)
Ni (0.000, 0.000, 0.000)
Ni (0.000, 0.000, 0.500)
Ni (0.000, 0.000, 0.250)
Ni (0.000, 0.000, 0.750)
Ni (0.333, 0.667, 0.250)
Ni (0.667, 0.333, 0.750)
Ni (0.167, 0.334, 0.129)
Ni (0.666, 0.833, 0.129)
Ni (0.167, 0.833, 0.129)
Ni (0.833, 0.666, 0.629)
Ni (0.334, 0.167, 0.629)
Ni (0.833, 0.167, 0.629)
Ni (0.334, 0.167, 0.871)
Ni (0.833, 0.666, 0.871)
Ni (0.833, 0.167, 0.871)
Ni (0.666, 0.833, 0.371)
Ni (0.167, 0.334, 0.371)
Ni (0.167, 0.833, 0.371)

Values from the calculation:
- VASP energy (eV per atom) = -6.362
- calculated formation energy (eV per atom) = -0.409
- space group = P6_3/mmc (194)
- energy relative to the lowest polymorph listed for this composition (eV per atom) = 0.002
- size of the total moment (μB/atom) = 0.000
- Fermi-level density of states (states/eV per cell) = 23.695
- volume (Å³ per atom) = 14.90



Record 9
Here is an optimized crystal structure of Ca2Hg8Au from Alexandria. Energies are from GGA-PBE.

a b c (Å): 4.847 4.847 12.065
angles (deg): 90.00 90.00 90.00
Positions (direct):
Ca (0.000, 0.000, 0.306)
Ca (0.000, 0.000, 0.694)
Hg (0.000, 0.500, 0.500)
Hg (0.500, 0.000, 0.500)
Hg (0.500, 0.500, 0.316)
Hg (0.500, 0.500, 0.684)
Hg (0.000, 0.500, 0.134)
Hg (0.500, 0.000, 0.134)
Hg (0.000, 0.500, 0.866)
Hg (0.500, 0.000, 0.866)
Au (0.000, 0.000, 0.000)

Values from the calculation:
- VASP energy (eV per atom) = -1.171
- calculated formation energy (eV per atom) = -0.290
- space group = P4/mmm (123)
- energy relative to the lowest polymorph listed for this composition (eV per atom) = 0.000
- size of the total moment (μB/atom) = 0.000
- Fermi-level density of states (states/eV per cell) = 4.278
- volume (Å³ per atom) = 25.77



Record 10
Here is an optimized crystal structure of Li3ScBi2S6 from Alexandria. Energies are from GGA-PBE.

a b c (Å): 6.770 6.770 6.622
angles (deg): 99.85 99.85 120.05
Positions (direct):
Li (0.168, 0.832, 0.500)
Li (0.832, 0.168, 0.500)
Li (0.500, 0.500, 0.500)
Sc (0.000, 0.000, 0.000)
Bi (0.334, 0.666, 0.000)
Bi (0.666, 0.334, 0.000)
S (0.915, 0.603, 0.746)
S (0.772, 0.772, 0.250)
S (0.085, 0.397, 0.254)
S (0.603, 0.915, 0.746)
S (0.228, 0.228, 0.750)
S (0.397, 0.085, 0.254)

Values from the calculation:
- VASP energy (eV per atom) = -4.787
- space group = C2/m (12)
- size of the total moment (μB/atom) = 0.000
- Fermi-level density of states (states/eV per cell) = 0.000
- volume (Å³ per atom) = 20.57



Record 11
Here is an optimized crystal structure of Fe2Tc3 from Alexandria. Energies are from GGA-PBE.

a b c (Å): 4.046 4.046 5.046
angles (deg): 90.00 90.00 120.00
Site moments in Bohr magnetons follow the coordinates.
Positions (direct):
Fe (0.667, 0.333, 0.137)  1.60
Fe (0.333, 0.667, 0.863)  1.60
Tc (0.000, 0.000, 0.000)  -0.11
Tc (0.667, 0.333, 0.624)  0.00
Tc (0.333, 0.667, 0.376)  0.00

Values from the calculation:
- VASP energy (eV per atom) = -9.128
- calculated formation energy (eV per atom) = 0.477
- space group = P-3m1 (164)
- energy relative to the lowest polymorph listed for this composition (eV per atom) = 0.330
- size of the total moment (μB/atom) = 0.615
- Fermi-level density of states (states/eV per cell) = 7.559
- volume (Å³ per atom) = 14.31



Record 12
Here is an optimized crystal structure of CuMo2Ru2 from Alexandria. Energies are from GGA-PBE.

a b c (Å): 7.375 7.375 2.859
angles (deg): 90.00 90.00 90.00
Positions (direct):
Ru (0.366, 0.866, 0.000)
Ru (0.866, 0.634, 0.000)
Ru (0.634, 0.134, 0.000)
Ru (0.134, 0.366, 0.000)
Mo (0.164, 0.664, 0.500)
Mo (0.664, 0.836, 0.500)
Mo (0.836, 0.336, 0.500)
Mo (0.336, 0.164, 0.500)
Cu (0.000, 0.000, 0.000)
Cu (0.500, 0.500, 0.000)

Values from the calculation:
- VASP energy (eV per atom) = -8.600
- calculated formation energy (eV per atom) = 0.262
- space group = P4/mbm (127)
- energy relative to the lowest polymorph listed for this composition (eV per atom) = 0.000
- size of the total moment (μB/atom) = 0.002
- Fermi-level density of states (states/eV per cell) = 6.379
- volume (Å³ per atom) = 15.55



> Which of these has the lowest VASP energy?

Fe2Tc3